No. 1
First-principles (PBE) data for a relaxed HfAlFeRe crystal, as listed in OQMD.

Properties
- excess energy over the best structure of this formula in the dataset (meV per atom) = 0

a b c (Å): 4.410 4.410 4.410
angles (deg): 60.00 60.00 60.00
Positions (direct):
1 Fe 0.750 0.750 0.750
2 Hf 0.500 0.500 0.500
3 Al 0.000 0.000 0.000
4 Re 0.250 0.250 0.250

***

No. 2
First-principles (PBE) data for a relaxed HfAlFeRe crystal, as listed in OQMD.

Properties
- excess energy over the best structure of this formula in the dataset (meV per atom) = 240

a b c (Å): 4.468 4.468 4.468
angles (deg): 60.00 60.00 60.00
Positions (direct):
1 Al 0.000 0.000 0.000
2 Hf 0.250 0.250 0.250
3 Re 0.500 0.500 0.500
4 Fe 0.750 0.750 0.750

***

No. 3
First-principles (PBE) data for a relaxed TmHfAl4Fe2 crystal, as listed in OQMD.

a b c (Å): 6.800 5.206 5.206
angles (deg): 45.51 90.00 90.00
Last column: magnetic moment on the atom in μB.
Positions (direct):
1 Tm 0.500 0.431 0.431  -0.02
2 Al 0.809 0.853 0.853  0.00
3 Al 0.191 0.853 0.853  0.00
4 Fe 0.500 0.710 0.710  1.26
5 Hf 0.000 0.568 0.568  -0.04
6 Al 0.701 0.146 0.146  0.00
7 Al 0.299 0.146 0.146  -0.01
8 Fe 0.000 0.293 0.293  0.89

***

No. 4
First-principles (PBE) data for a relaxed HfAlFeW crystal, as listed in OQMD.

Properties
- excess energy over the best structure of this formula in the dataset (meV per atom) = 0

a b c (Å): 4.461 4.461 4.461
angles (deg): 60.00 60.00 60.00
Positions (direct):
1 Hf 0.500 0.500 0.500
2 W 0.250 0.250 0.250
3 Al 0.000 0.000 0.000
4 Fe 0.750 0.750 0.750

***

No. 5
First-principles (PBE) data for a relaxed YHfAlFe crystal, as listed in OQMD.

Properties
- excess energy over the best structure of this formula in the dataset (meV per atom) = 0

a b c (Å): 4.666 4.666 4.666
angles (deg): 60.00 60.00 60.00
Positions (direct):
1 Al 0.000 0.000 0.000
2 Hf 0.500 0.500 0.500
3 Y 0.250 0.250 0.250
4 Fe 0.750 0.750 0.750

***

No. 6
First-principles (PBE) data for a relaxed Hf2AlZnFe4 crystal, as listed in OQMD.

a b c (Å): 4.203 4.203 7.667
angles (deg): 90.00 90.00 120.00
Last column: magnetic moment on the atom in μB.
Positions (direct):
1 Fe 0.333 0.667 0.902  1.21
2 Hf 0.333 0.667 0.243  -0.28
3 Al 0.000 0.000 0.000  -0.02
4 Fe 0.333 0.667 0.585  1.95
5 Fe 0.667 0.333 0.415  1.95
6 Zn 0.000 0.000 0.500  -0.04
7 Fe 0.667 0.333 0.098  1.21
8 Hf 0.667 0.333 0.757  -0.28

***

No. 7
First-principles (PBE) data for a relaxed Hf3Zr3Al2Fe crystal, as listed in OQMD.

Properties
- excess energy over the best structure of this formula in the dataset (meV per atom) = 36

a b c (Å): 7.918 7.918 3.277
angles (deg): 90.00 90.00 120.00
Last column: magnetic moment on the atom in μB.
Positions (direct):
1 Zr 0.748 0.000 0.500  0.00
2 Fe 0.000 0.000 0.000  -0.07
3 Hf 0.395 0.000 0.000  0.00
4 Hf 0.605 0.605 0.000  0.00
5 Al 0.333 0.667 0.500  0.00
6 Zr 0.252 0.252 0.500  0.00
7 Al 0.667 0.333 0.500  0.00
8 Zr 0.000 0.748 0.500  0.00
9 Hf 0.000 0.395 0.000  0.00

***

No. 8
First-principles (PBE) data for a relaxed HfZrAl2Fe4 crystal, as listed in OQMD.

a b c (Å): 4.207 4.207 7.737
angles (deg): 90.00 90.00 120.00
Last column: magnetic moment on the atom in μB.
Positions (direct):
1 Fe 0.000 0.000 0.339  1.55
2 Al 0.333 0.667 0.752  -0.03
3 Zr 0.667 0.333 0.500  -0.30
4 Fe 0.667 0.333 0.843  1.47
5 Fe 0.000 0.000 0.661  1.53
6 Hf 0.000 0.000 0.000  -0.30
7 Al 0.333 0.667 0.248  -0.02
8 Fe 0.667 0.333 0.157  1.48

***

No. 9
First-principles (PBE) data for a relaxed Hf3Zr3Al2Fe crystal, as listed in OQMD.

Properties
- excess energy over the best structure of this formula in the dataset (meV per atom) = 0

a b c (Å): 7.892 7.892 3.310
angles (deg): 90.00 90.00 120.00
Positions (direct):
1 Zr 0.398 0.000 0.000
2 Zr 0.602 0.602 0.000
3 Hf 0.248 0.248 0.500
4 Hf 0.752 0.000 0.500
5 Hf 0.000 0.752 0.500
6 Fe 0.000 0.000 0.000
7 Al 0.333 0.667 0.500
8 Zr 0.000 0.398 0.000
9 Al 0.667 0.333 0.500

***

No. 10
First-principles (PBE) data for a relaxed AlFeHg crystal, as listed in OQMD.

Properties
- excess energy over the best structure of this formula in the dataset (meV per atom) = 0

a b c (Å): 4.294 4.294 4.294
angles (deg): 60.00 60.00 60.00
Positions (direct):
1 Al 0.250 0.250 0.250
2 Fe 0.000 0.000 0.000
3 Hg 0.750 0.750 0.750

***

No. 11
First-principles (PBE) data for a relaxed LuAlFeHg crystal, as listed in OQMD.

Properties
- excess energy over the best structure of this formula in the dataset (meV per atom) = 0

a b c (Å): 4.710 4.710 4.710
angles (deg): 60.00 60.00 60.00
Positions (direct):
1 Hg 0.250 0.250 0.250
2 Fe 0.750 0.750 0.750
3 Lu 0.500 0.500 0.500
4 Al 0.000 0.000 0.000

***

No. 12
First-principles (PBE) data for a relaxed LuAlFeHg crystal, as listed in OQMD.

Properties
- excess energy over the best structure of this formula in the dataset (meV per atom) = 31

a b c (Å): 4.729 4.729 4.729
angles (deg): 60.00 60.00 60.00
Positions (direct):
1 Al 0.000 0.000 0.000
2 Lu 0.250 0.250 0.250
3 Hg 0.500 0.500 0.500
4 Fe 0.750 0.750 0.750

***

Number 1: final energy -8.78 eV per atom. Number 2: final energy -8.54 eV per atom. Number 3: final energy -6.11 eV per atom. Number 4: final energy -8.65 eV per atom. Number 5: final energy -7.05 eV per atom. Number 6: final energy -7.39 eV per atom. Number 7: final energy -8.20 eV per atom. Number 8: final energy -7.60 eV per atom. Number 9: final energy -8.24 eV per atom. Number 10: final energy -3.76 eV per atom. Number 11: final energy -4.24 eV per atom. Number 12: final energy -4.21 eV per atom.